## CaPaRh2O8 (PBE)

Data for a geometry-optimized CaPaRh2O8 structure.

Values from the calculation:
- space group = No. 147
- E (eV/atom) = -6.673
- Fermi-level density of states (states/eV/atom) = 0.57
- density (g cm⁻³) = 5.6
- ΔE_f (raw) (eV per atom) = -1.18

a b c (Å): 5.638 5.638 6.558
angles (deg): 90.00 90.00 120.00
Fractional coordinates of all 12 atoms:
Ca1 0.000 0.000 0.000
Pa1 0.000 0.000 0.500
Rh1 0.333 0.667 0.438
Rh2 0.667 0.333 0.562
O1 0.071 0.372 0.649
O2 0.301 0.929 0.649
O3 0.333 0.667 0.158
O4 0.372 0.301 0.351
O5 0.628 0.699 0.649
O6 0.667 0.333 0.842
O7 0.699 0.071 0.351
O8 0.929 0.628 0.351

## CaPaRuO6 (PBE)

Data for a geometry-optimized CaPaRuO6 structure.

Values from the calculation:
- space group = No. 163
- E (eV/atom) = -8.037
- density (g cm⁻³) = 6.0
- ΔE_f (raw) (eV per atom) = -2.42

a b c (Å): 5.528 5.528 9.873
angles (deg): 90.00 90.00 120.00
Fractional coordinates of all 18 atoms:
Ca1 0.000 0.000 0.000
Ca2 0.000 0.000 0.500
Pa1 0.333 0.667 0.250
Pa2 0.667 0.333 0.750
Ru1 0.333 0.667 0.750
Ru2 0.667 0.333 0.250
O1 0.026 0.372 0.640
O2 0.026 0.655 0.860
O3 0.345 0.372 0.860
O4 0.345 0.974 0.640
O5 0.372 0.026 0.140
O6 0.372 0.345 0.360
O7 0.628 0.655 0.640
O8 0.628 0.974 0.860
O9 0.655 0.026 0.360
O10 0.655 0.628 0.140
O11 0.974 0.345 0.140
O12 0.974 0.628 0.360

## CaPaS2O8 (PBE)

Data for a geometry-optimized CaPaS2O8 structure.

Values from the calculation:
- space group = No. 164
- E (eV/atom) = -6.765
- Fermi-level density of states (states/eV/atom) = 0.25
- density (g cm⁻³) = 3.8
- ΔE_f (raw) (eV per atom) = -1.81

a b c (Å): 5.923 5.923 6.676
angles (deg): 90.00 90.00 120.00
Fractional coordinates of all 12 atoms:
Ca1 0.000 0.000 0.000
Pa1 0.000 0.000 0.500
S1 0.333 0.667 0.235
S2 0.667 0.333 0.765
O1 0.159 0.318 0.282
O2 0.159 0.841 0.282
O3 0.318 0.159 0.718
O4 0.333 0.667 0.017
O5 0.667 0.333 0.983
O6 0.682 0.841 0.282
O7 0.841 0.159 0.718
O8 0.841 0.682 0.718

## CaPaSb2O8 (PBE)

Data for a geometry-optimized CaPaSb2O8 structure.

Values from the calculation:
- space group = No. 119
- E (eV/atom) = -7.099
- Fermi-level density of states (states/eV/atom) = 0.25
- density (g cm⁻³) = 5.7
- ΔE_f (raw) (eV per atom) = -2.15

a b c (Å): 6.237 6.237 6.237
angles (deg): 108.07 108.07 112.31
Fractional coordinates of all 12 atoms:
Ca1 0.000 0.000 0.000
Pa1 0.250 0.750 0.500
Sb1 0.500 0.500 0.000
Sb2 0.750 0.250 0.500
O1 0.309 0.106 0.797
O2 0.309 0.513 0.203
O3 0.371 0.054 0.317
O4 0.487 0.691 0.797
O5 0.737 0.054 0.683
O6 0.894 0.691 0.203
O7 0.946 0.263 0.317
O8 0.946 0.629 0.683